[1]
Computed, not measured: crystalline Pr3Ho2Tm4 at its relaxed geometry at the PBE level of DFT.

Geometry as CIF:
```
data_Pr3Ho2Tm4
_chemical_formula_sum 'Pr6 Ho4 Tm8'
_symmetry_space_group_name_H-M 'C 1 2/m 1'
_symmetry_Int_Tables_number 12
_symmetry_space_group_name_Hall '-C 2y'
_cell_length_a 17.0970
_cell_length_b 5.6163
_cell_length_c 6.5806
_cell_angle_alpha 90.00
_cell_angle_beta 111.46
_cell_angle_gamma 90.00
loop_
_atom_site_label
_atom_site_fract_x
_atom_site_fract_y
_atom_site_fract_z
Pr1 0.0000 0.0000 0.0000
Pr2 0.1386 0.0000 0.5806
Ho1 0.1389 0.5000 0.2995
Tm1 0.0701 0.5000 0.7545
Tm2 0.2232 0.0000 0.1424
```

## Properties
* ΔH_f (0 K): 0.0874 eV per atom
* density: 8.1 Mg/m³
* calculated total energy: -4.510 eV per atom
* excess energy over the best structure of this formula in the dataset: 0.000 eV per formula unit



[2]
Computed, not measured: crystalline Pr3HoTm6 at its relaxed geometry at the PBE level of DFT.

Geometry as CIF:
```
data_Pr3HoTm6
_chemical_formula_sum 'Pr9 Ho3 Tm18'
_symmetry_space_group_name_H-M 'R 3'
_symmetry_Int_Tables_number 146
_symmetry_space_group_name_Hall 'R 3'
_cell_length_a 9.8455
_cell_length_b 9.8455
_cell_length_c 11.6309
_cell_angle_alpha 90.00
_cell_angle_beta 90.00
_cell_angle_gamma 120.00
loop_
_atom_site_label
_atom_site_fract_x
_atom_site_fract_y
_atom_site_fract_z
Pr1 0.0000 0.0000 0.0000
Pr2 0.0000 0.0000 0.2510
Pr3 0.0000 0.0000 0.5018
Ho1 0.0000 0.0000 0.7510
Tm1 0.0032 0.3406 0.1668
Tm2 0.0073 0.6709 0.6673
```

## Properties
* ΔH_f (0 K): 0.3077 eV per atom
* density: 8.2 Mg/m³
* calculated total energy: -4.267 eV per atom
* excess energy over the best structure of this formula in the dataset: 2.365 eV per formula unit